# SrV13O18

A PBEsol-optimized structure of SrV13O18 (meta-GGA SCAN, Alexandria).

Cell and atoms, written as POSCAR:
```
SrV13O18
1.0
6.198 3.578 2.254
-6.198 3.578 2.254
0.000 -7.156 2.254
Sr V O
1 13 18
Direct
0.000 0.000 0.000
0.057 0.549 0.890
0.110 0.943 0.451
0.253 0.669 0.628
0.331 0.372 0.747
0.372 0.747 0.331
0.451 0.110 0.943
0.500 0.500 0.500
0.549 0.890 0.057
0.628 0.253 0.669
0.669 0.628 0.253
0.747 0.331 0.372
0.890 0.057 0.549
0.943 0.451 0.110
0.046 0.372 0.593
0.101 0.760 0.171
0.171 0.101 0.760
0.206 0.462 0.315
0.240 0.829 0.899
0.315 0.206 0.462
0.372 0.593 0.046
0.407 0.954 0.628
0.462 0.315 0.206
0.538 0.685 0.794
0.593 0.046 0.372
0.628 0.407 0.954
0.685 0.794 0.538
0.760 0.171 0.101
0.794 0.538 0.685
0.829 0.899 0.240
0.899 0.240 0.829
0.954 0.628 0.407
```

## Properties
E: -13.848 eV per atom
ΔE_f (raw): -2543 meV per atom
total magnetization: 0.10 μB per atom
volume: 299.9 Å³ per cell



# Be2Tc2Ge

A PBEsol-optimized structure of Be2Tc2Ge (meta-GGA SCAN, Alexandria).

Cell and atoms, written as POSCAR:
```
Be2Tc2Ge
1.0
5.891 0.000 0.000
0.000 5.891 0.000
0.000 0.000 3.170
Be Tc Ge
4 4 2
Direct
0.119 0.381 0.000
0.381 0.881 0.000
0.619 0.119 0.000
0.881 0.619 0.000
0.177 0.677 0.500
0.323 0.177 0.500
0.677 0.823 0.500
0.823 0.323 0.500
0.000 0.000 0.000
0.500 0.500 0.000
```

## Properties
E: -19.961 eV per atom
total magnetization: 0.00 μB per atom
volume: 110.0 Å³ per cell



# NbNiAs

A PBEsol-optimized structure of NbNiAs (meta-GGA SCAN, Alexandria).

Cell and atoms, written as POSCAR:
```
NbNiAs
1.0
6.263 0.000 0.000
0.000 3.703 0.000
0.000 0.000 7.219
Nb Ni As
4 4 4
Direct
0.017 0.250 0.166
0.483 0.750 0.666
0.517 0.250 0.334
0.983 0.750 0.834
0.160 0.250 0.573
0.340 0.750 0.073
0.660 0.250 0.927
0.840 0.750 0.427
0.212 0.750 0.382
0.288 0.250 0.882
0.712 0.750 0.118
0.788 0.250 0.618
```

## Properties
E: -23.780 eV per atom
total magnetization: 0.00 μB per atom
volume: 167.4 Å³ per cell



# KZnW

A PBEsol-optimized structure of KZnW (meta-GGA SCAN, Alexandria).

Cell and atoms, written as POSCAR:
```
KZnW
1.0
-1.296 2.155 6.216
1.296 -2.155 6.216
1.296 2.155 -6.216
K Zn W
1 1 1
Direct
0.000 0.000 0.000
0.286 0.286 0.000
0.722 0.722 0.000
```

## Properties
E: -29.508 eV per atom
total magnetization: 0.00 μB per atom
distance to the lowest polymorph of the same formula: 0.053 eV/atom
volume: 69.4 Å³ per cell



# InCo2Se

A PBEsol-optimized structure of InCo2Se (meta-GGA SCAN, Alexandria).

Cell and atoms, written as POSCAR:
```
InCo2Se
1.0
0.000 3.129 3.129
3.129 0.000 3.129
3.129 3.129 0.000
In Co Se
1 2 1
Direct
0.000 0.000 0.000
0.500 0.500 0.500
0.750 0.750 0.750
0.250 0.250 0.250
```

## Properties
E: -21.361 eV per atom
ΔE_f (raw): 657 meV per atom
total magnetization: 0.74 μB per atom
volume: 61.2 Å³ per cell



# KLiPb2

A PBEsol-optimized structure of KLiPb2 (meta-GGA SCAN, Alexandria).

Cell and atoms, written as POSCAR:
```
KLiPb2
1.0
3.467 0.000 0.000
0.000 4.732 0.000
-1.657 0.000 7.343
K Li Pb
1 1 2
Direct
0.000 0.000 0.000
0.000 0.000 0.500
0.370 0.500 0.682
0.630 0.500 0.318
```

## Properties
E: -40.851 eV per atom
total magnetization: 0.00 μB per atom
distance to the lowest polymorph of the same formula: 0.075 eV/atom
volume: 120.5 Å³ per cell



volume of number 3 (NbNiAs)?
167.4 Å³ per cell